The following is a meta-GGA SCAN calculation of a PBEsol-optimized structure of LaFeTc3, from Alexandria.

Properties
SG = Pm-3m, No. 221
Energy of formation from the pure elements = 1156 kJ/mol of formula units

Structure (POSCAR):
```
LaFeTc3
1.0
4.6219 0.0000 0.0000
0.0000 4.6219 0.0000
0.0000 0.0000 4.6219
Tc Fe La
3 1 1
Cartesian
2.3109 0.0000 0.0000 Tc
0.0000 2.3109 0.0000 Tc
0.0000 0.0000 2.3109 Tc
2.3109 2.3109 2.3109 Fe
0.0000 0.0000 0.0000 La
```



The following is a meta-GGA SCAN calculation of a PBEsol-optimized structure of LaFe2Tc, from Alexandria.

Properties
Energy above the lowest structure with this stoichiometry = 0 meV per atom
SG = R3m, No. 160
Energy of formation from the pure elements = 89 kJ/mol of formula units

Structure (POSCAR):
```
LaFe2Tc
1.0
-0.2855 3.9970 -0.6408
-2.7752 2.1823 2.0010
2.3799 2.9113 4.2427
Tc Fe La
1 2 1
Cartesian
0.0908 6.9684 4.8723 Tc
-0.8000 2.1150 0.6989 Fe
-2.9511 6.2066 1.4821 Fe
-0.3414 4.5453 2.8004 La
```



The following is a meta-GGA SCAN calculation of a PBEsol-optimized structure of La3FeTe, from Alexandria.

Properties
SG = Pm-3m, No. 221
Formation energy (no corrections) = -0.53 eV per atom

Structure (POSCAR):
```
La3FeTe
1.0
5.1513 0.0000 0.0000
0.0000 5.1513 0.0000
0.0000 0.0000 5.1513
Te Fe La
1 1 3
Cartesian
2.5757 2.5757 2.5757 Te
0.0000 0.0000 0.0000 Fe
0.0000 0.0000 2.5757 La
2.5757 0.0000 0.0000 La
0.0000 2.5757 0.0000 La
```



| no. | volume (A^3/atom) | DOS at the Fermi energy (states/eV per cell) |
| --- | --- | --- |
| 1 | 19.7 | 6.5 |
| 2 | 18.4 | 4.5 |
| 3 | 27.3 | 4.2 |